1.
CeIn4Pd2 SCAN PBEsol geometry; V = 20.967 A^3/atom; symmetry = No. 62; total moment = 3.9 μB/cell; DFT total energy = -35.433 eV/atom
1.0
18.2600 0.0000 0.0000
0.0000 4.5448 0.0000
0.0000 0.0000 7.0744
Ce In Pd
4 16 8
Direct
0.1397 0.2500 0.0222
0.3603 0.7500 0.5222
0.6397 0.2500 0.4778
0.8603 0.7500 0.9778
0.0353 0.7500 0.8469
0.0705 0.2500 0.4947
0.1849 0.7500 0.3232
0.1918 0.7500 0.7346
0.3082 0.2500 0.2346
0.3151 0.2500 0.8232
0.4295 0.7500 0.9947
0.4647 0.2500 0.3469
0.5353 0.7500 0.6531
0.5705 0.2500 0.0053
0.6849 0.7500 0.1768
0.6918 0.7500 0.7654
0.8082 0.2500 0.2654
0.8151 0.2500 0.6768
0.9295 0.7500 0.5053
0.9647 0.2500 0.1531
0.0391 0.7500 0.2428
0.2177 0.2500 0.5332
0.2823 0.7500 0.0332
0.4609 0.2500 0.7428
0.5391 0.7500 0.2572
0.7177 0.2500 0.9668
0.7823 0.7500 0.4668
0.9609 0.2500 0.7572

***

2.
Ce2InPt2 SCAN PBEsol geometry; V = 22.079 A^3/atom; symmetry = No. 127; total moment = 0.0 μB/cell; DFT total energy = -53.764 eV/atom
1.0
7.7186 0.0000 0.0000
0.0000 7.7186 0.0000
0.0000 0.0000 3.7060
Ce In Pt
4 2 4
Direct
0.1721 0.3279 0.0000
0.3279 0.8279 0.0000
0.6721 0.1721 0.0000
0.8279 0.6721 0.0000
0.0000 0.0000 0.5000
0.5000 0.5000 0.5000
0.1312 0.6312 0.5000
0.3688 0.1312 0.5000
0.6312 0.8688 0.5000
0.8688 0.3688 0.5000

***

3.
CeIn3Pt SCAN PBEsol geometry; V = 22.504 A^3/atom; symmetry = No. 223; total moment = 8.6 μB/cell; DFT total energy = -43.693 eV/atom
1.0
9.6554 0.0000 0.0000
0.0000 9.6554 0.0000
0.0000 0.0000 9.6554
Ce In Pt
8 24 8
Direct
0.0000 0.0000 0.0000
0.0000 0.2500 0.5000
0.0000 0.7500 0.5000
0.2500 0.5000 0.0000
0.5000 0.0000 0.2500
0.5000 0.0000 0.7500
0.5000 0.5000 0.5000
0.7500 0.5000 0.0000
0.0000 0.3221 0.1515
0.0000 0.3221 0.8485
0.0000 0.6779 0.1515
0.0000 0.6779 0.8485
0.1515 0.0000 0.3221
0.1515 0.0000 0.6779
0.1779 0.5000 0.3485
0.1779 0.5000 0.6515
0.3221 0.1515 0.0000
0.3221 0.8485 0.0000
0.3485 0.1779 0.5000
0.3485 0.8221 0.5000
0.5000 0.3485 0.1779
0.5000 0.3485 0.8221
0.5000 0.6515 0.1779
0.5000 0.6515 0.8221
0.6515 0.1779 0.5000
0.6515 0.8221 0.5000
0.6779 0.1515 0.0000
0.6779 0.8485 0.0000
0.8221 0.5000 0.3485
0.8221 0.5000 0.6515
0.8485 0.0000 0.3221
0.8485 0.0000 0.6779
0.2500 0.2500 0.2500
0.2500 0.2500 0.7500
0.2500 0.7500 0.2500
0.2500 0.7500 0.7500
0.7500 0.2500 0.2500
0.7500 0.2500 0.7500
0.7500 0.7500 0.2500
0.7500 0.7500 0.7500

***

4.
CeInPt4 SCAN PBEsol geometry; V = 17.962 A^3/atom; symmetry = No. 216; total moment = 0.0 μB/cell; DFT total energy = -60.702 eV/atom
1.0
0.0000 3.7771 3.7771
3.7771 0.0000 3.7771
3.7771 3.7771 0.0000
Ce In Pt
1 1 4
Direct
0.0000 0.0000 0.0000
0.7500 0.7500 0.7500
0.3755 0.3755 0.3755
0.3755 0.3755 0.8735
0.3755 0.8735 0.3755
0.8735 0.3755 0.3755

***

5.
Ce2In8Rh SCAN PBEsol geometry; V = 23.270 A^3/atom; symmetry = No. 123; total moment = 2.1 μB/cell; DFT total energy = -35.991 eV/atom
1.0
4.6135 0.0000 0.0000
0.0000 4.6135 0.0000
0.0000 0.0000 12.0261
Ce In Rh
2 8 1
Direct
0.0000 0.0000 0.1924
0.0000 0.0000 0.8076
0.0000 0.5000 0.0000
0.0000 0.5000 0.3776
0.0000 0.5000 0.6224
0.5000 0.0000 0.0000
0.5000 0.0000 0.3776
0.5000 0.0000 0.6224
0.5000 0.5000 0.1913
0.5000 0.5000 0.8087
0.0000 0.0000 0.5000

***

6.
CeInRh SCAN PBEsol geometry; V = 20.971 A^3/atom; symmetry = No. 189; total moment = 0.0 μB/cell; DFT total energy = -38.038 eV/atom
1.0
7.4550 0.0000 0.0000
-3.7275 6.4562 0.0000
0.0000 0.0000 3.9214
Ce In Rh
3 3 3
Direct
0.0000 0.5882 0.0000
0.4118 0.4118 0.0000
0.5882 0.0000 0.0000
0.0000 0.2525 0.5000
0.2525 0.0000 0.5000
0.7475 0.7475 0.5000
0.0000 0.0000 0.0000
0.3333 0.6667 0.5000
0.6667 0.3333 0.5000

***

7.
Ce2InRh2 SCAN PBEsol geometry; V = 20.725 A^3/atom; symmetry = No. 127; total moment = 0.0 μB/cell; DFT total energy = -38.853 eV/atom
1.0
7.5210 0.0000 0.0000
0.0000 7.5210 0.0000
0.0000 0.0000 3.6639
Ce In Rh
4 2 4
Direct
0.1690 0.3310 0.0000
0.3310 0.8310 0.0000
0.6690 0.1690 0.0000
0.8310 0.6690 0.0000
0.0000 0.0000 0.5000
0.5000 0.5000 0.5000
0.1368 0.6368 0.5000
0.3632 0.1368 0.5000
0.6368 0.8632 0.5000
0.8632 0.3632 0.5000

***

8.
Ce2In3Ru2 SCAN PBEsol geometry; V = 21.246 A^3/atom; symmetry = No. 62; total moment = 3.6 μB/cell; DFT total energy = -37.548 eV/atom
1.0
17.4604 0.0000 0.0000
0.0000 4.6465 0.0000
0.0000 0.0000 7.3325
Ce In Ru
8 12 8
Direct
0.0745 0.2500 0.0506
0.1462 0.2500 0.5653
0.3538 0.7500 0.0653
0.4255 0.7500 0.5506
0.5745 0.2500 0.4494
0.6462 0.2500 0.9347
0.8538 0.7500 0.4347
0.9255 0.7500 0.9494
0.0324 0.7500 0.3751
0.1851 0.7500 0.8593
0.1934 0.7500 0.2746
0.3066 0.2500 0.7746
0.3149 0.2500 0.3593
0.4676 0.2500 0.8751
0.5324 0.7500 0.1249
0.6851 0.7500 0.6407
0.6934 0.7500 0.2254
0.8066 0.2500 0.7254
0.8149 0.2500 0.1407
0.9676 0.2500 0.6249
0.0312 0.7500 0.7618
0.2082 0.2500 0.0688
0.2918 0.7500 0.5688
0.4688 0.2500 0.2618
0.5312 0.7500 0.7382
0.7082 0.2500 0.4312
0.7918 0.7500 0.9312
0.9688 0.2500 0.2382

***

9.
Ce3In2Ru2 SCAN PBEsol geometry; V = 22.199 A^3/atom; symmetry = No. 62; total moment = 4.6 μB/cell; DFT total energy = -39.188 eV/atom
1.0
17.3470 0.0000 0.0000
0.0000 4.8187 0.0000
0.0000 0.0000 7.4361
Ce In Ru
12 8 8
Direct
0.0740 0.2500 0.0112
0.1388 0.2500 0.4779
0.1744 0.7500 0.7676
0.3256 0.2500 0.2676
0.3612 0.7500 0.9779
0.4260 0.7500 0.5112
0.5740 0.2500 0.4888
0.6388 0.2500 0.0221
0.6744 0.7500 0.7324
0.8256 0.2500 0.2324
0.8612 0.7500 0.5221
0.9260 0.7500 0.9888
0.0310 0.7500 0.3430
0.1966 0.7500 0.2120
0.3034 0.2500 0.7120
0.4690 0.2500 0.8430
0.5310 0.7500 0.1570
0.6966 0.7500 0.2880
0.8034 0.2500 0.7880
0.9690 0.2500 0.6570
0.0453 0.7500 0.7274
0.2060 0.2500 0.0188
0.2940 0.7500 0.5188
0.4547 0.2500 0.2274
0.5453 0.7500 0.7726
0.7060 0.2500 0.4812
0.7940 0.7500 0.9812
0.9547 0.2500 0.2726

***

10.
Ce2In3Sn3 SCAN PBEsol geometry; V = 24.586 A^3/atom; symmetry = No. 47; total moment = 1.9 μB/cell; DFT total energy = -37.702 eV/atom
1.0
4.6125 0.0000 0.0000
0.0000 4.6964 0.0000
0.0000 0.0000 9.0798
Ce In Sn
2 3 3
Direct
0.0000 0.0000 0.2463
0.0000 0.0000 0.7537
0.0000 0.5000 0.5000
0.5000 0.5000 0.2535
0.5000 0.5000 0.7465
0.0000 0.5000 0.0000
0.5000 0.0000 0.0000
0.5000 0.0000 0.5000

***

11.
CeTmIn2 SCAN PBEsol geometry; V = 25.712 A^3/atom; symmetry = No. 225; total moment = 0.9 μB/cell; DFT total energy = -41.344 eV/atom
1.0
0.0000 3.7187 3.7187
3.7187 0.0000 3.7187
3.7187 3.7187 0.0000
Ce Tm In
1 1 2
Direct
0.0000 0.0000 0.0000
0.5000 0.5000 0.5000
0.2500 0.2500 0.2500
0.7500 0.7500 0.7500

***

12.
CeZnIn SCAN PBEsol geometry; V = 21.861 A^3/atom; symmetry = No. 194; total moment = 3.0 μB/cell; DFT total energy = -30.931 eV/atom
1.0
4.8265 0.0000 0.0000
-2.4132 4.1798 0.0000
0.0000 0.0000 6.5019
Ce Zn In
2 2 2
Direct
0.0000 0.0000 0.0000
0.0000 0.0000 0.5000
0.3333 0.6667 0.2500
0.6667 0.3333 0.7500
0.3333 0.6667 0.7500
0.6667 0.3333 0.2500

***

13.
Sr2CeIrO6 SCAN PBEsol geometry; V = 13.937 A^3/atom; symmetry = No. 14; total moment = 2.0 μB/cell; raw formation energy = -2.6682 eV/atom
1.0
5.7979 0.0000 0.0000
0.0000 5.8511 0.0000
-5.7137 0.0000 8.2168
Sr Ce Ir O
4 2 2 12
Direct
0.2383 0.0380 0.2484
0.2383 0.4620 0.7484
0.7617 0.5380 0.2516
0.7617 0.9620 0.7516
0.5000 0.0000 0.0000
0.5000 0.5000 0.5000
0.0000 0.0000 0.5000
0.0000 0.5000 0.0000
0.1591 0.2264 0.9604
0.1591 0.2736 0.4604
0.2326 0.7025 0.9605
0.2326 0.7975 0.4605
0.3105 0.0172 0.7361
0.3105 0.4828 0.2361
0.6895 0.5172 0.7639
0.6895 0.9828 0.2639
0.7674 0.2025 0.5395
0.7674 0.2975 0.0395
0.8409 0.7264 0.5396
0.8409 0.7736 0.0396

***

14.
CeSi2Ir3 SCAN PBEsol geometry; V = 16.041 A^3/atom; symmetry = No. 74; total moment = 1.2 μB/cell; raw formation energy = -1.0897 eV/atom; offset from the most stable computed form = 0.000 eV/f.u.
1.0
-3.5946 4.8171 2.7792
3.5946 -4.8171 2.7792
3.5946 4.8171 -2.7792
Ce Si Ir
2 4 6
Direct
0.4669 0.2169 0.2500
0.5331 0.7831 0.7500
0.1163 0.6967 0.4196
0.2229 0.3033 0.9196
0.7771 0.6967 0.0804
0.8837 0.3033 0.5804
0.0000 0.0000 0.5000
0.0000 0.2171 0.2171
0.0000 0.5000 0.0000
0.0000 0.7829 0.7829
0.5000 0.2171 0.7171
0.5000 0.7829 0.2829

***

15.
CeSi2Ir3 SCAN PBEsol geometry; V = 16.202 A^3/atom; symmetry = No. 191; total moment = 0.6 μB/cell; raw formation energy = -1.0653 eV/atom; offset from the most stable computed form = 0.146 eV/f.u.
1.0
5.5093 0.0000 0.0000
-2.7547 4.7712 0.0000
0.0000 0.0000 3.6983
Ce Si Ir
1 2 3
Direct
0.0000 0.0000 0.0000
0.3333 0.6667 0.0000
0.6667 0.3333 0.0000
0.0000 0.5000 0.5000
0.5000 0.0000 0.5000
0.5000 0.5000 0.5000

***

16.
CeSi3Ir SCAN PBEsol geometry; V = 17.100 A^3/atom; symmetry = No. 107; total moment = 0.7 μB/cell; raw formation energy = -0.9148 eV/atom
1.0
-2.0968 2.0968 4.8617
2.0968 -2.0968 4.8617
2.0968 2.0968 -4.8617
Ce Si Ir
1 3 1
Direct
0.0000 0.0000 0.0000
0.2325 0.7325 0.5000
0.5835 0.5835 0.0000
0.7325 0.2325 0.5000
0.3431 0.3431 0.0000

***

17.
CeSiIr2 SCAN PBEsol geometry; V = 17.869 A^3/atom; symmetry = No. 141; total moment = 2.2 μB/cell; raw formation energy = -1.1499 eV/atom
1.0
-1.9998 1.9998 17.8725
1.9998 -1.9998 17.8725
1.9998 1.9998 -17.8725
Ce Si Ir
4 4 8
Direct
0.0506 0.3006 0.7500
0.3006 0.0506 0.2500
0.6994 0.9494 0.7500
0.9494 0.6994 0.2500
0.1613 0.4113 0.7500
0.4113 0.1613 0.2500
0.5887 0.8387 0.7500
0.8387 0.5887 0.2500
0.1250 0.8750 0.2500
0.2273 0.4773 0.7500
0.3750 0.6250 0.7500
0.4773 0.2273 0.2500
0.5227 0.7727 0.7500
0.6250 0.3750 0.2500
0.7727 0.5227 0.2500
0.8750 0.1250 0.7500

***

18.
CeSnIr SCAN PBEsol geometry; V = 21.124 A^3/atom; symmetry = No. 189; total moment = 0.6 μB/cell; DFT total energy = -51.504 eV/atom
1.0
7.3822 0.0000 0.0000
-3.6911 6.3932 0.0000
0.0000 0.0000 4.0281
Ce Sn Ir
3 3 3
Direct
0.0000 0.4131 0.0000
0.4131 0.0000 0.0000
0.5869 0.5869 0.0000
0.0000 0.7465 0.5000
0.2535 0.2535 0.5000
0.7465 0.0000 0.5000
0.0000 0.0000 0.0000
0.3333 0.6667 0.5000
0.6667 0.3333 0.5000

***

19.
CeSn2Ir2 SCAN PBEsol geometry; V = 20.880 A^3/atom; symmetry = No. 129; total moment = 1.8 μB/cell; DFT total energy = -52.371 eV/atom
1.0
4.3778 0.0000 0.0000
0.0000 4.3778 0.0000
0.0000 0.0000 10.8950
Ce Sn Ir
2 4 4
Direct
0.2500 0.2500 0.2484
0.7500 0.7500 0.7516
0.2500 0.2500 0.8686
0.2500 0.7500 0.5000
0.7500 0.2500 0.5000
0.7500 0.7500 0.1314
0.2500 0.2500 0.6355
0.2500 0.7500 0.0000
0.7500 0.2500 0.0000
0.7500 0.7500 0.3645